The following is a PBE calculation of NaCoH3 after structural relaxation, from the Alexandria database. Values from VASP.

Cell and atoms, written as Quantum ESPRESSO input:
```
&SYSTEM
  ibrav = 0, nat = 10, ntyp = 3
/
ATOMIC_SPECIES
Na 22.99 Na.upf
Co 58.93 Co.upf
H 1.01 H.upf
ATOMIC_POSITIONS crystal
Na 0.8149 0.0887 0.9113
Na 0.1851 0.9113 0.0887
Co 0.6671 0.0082 0.9918
Co 0.3329 0.9918 0.0082
H 0.7960 0.3026 0.6974
H 0.2040 0.6974 0.3026
H 0.1033 0.1999 0.8001
H 0.8967 0.8001 0.1999
H 0.4896 0.6863 0.3137
H 0.5104 0.3137 0.6863
CELL_PARAMETERS angstrom
14.3698 0.0000 0.6499
5.2672 1.3319 -2.0744
-5.2672 1.3319 2.0744
```

***

The following is a PBE calculation of Na3Co2H9 after structural relaxation, from the Alexandria database. Values from VASP.

Cell and atoms, written as Quantum ESPRESSO input:
```
&SYSTEM
  ibrav = 0, nat = 28, ntyp = 3
/
ATOMIC_SPECIES
Na 22.99 Na.upf
Co 58.93 Co.upf
H 1.01 H.upf
ATOMIC_POSITIONS crystal
Na 0.4101 0.7500 0.0899
Na 0.2500 0.9101 0.5899
Na 0.9101 0.5899 0.2500
Na 0.0899 0.4101 0.7500
Na 0.7500 0.0899 0.4101
Na 0.5899 0.2500 0.9101
Co 0.1701 0.1701 0.1701
Co 0.6701 0.6701 0.6701
Co 0.8299 0.8299 0.8299
Co 0.3299 0.3299 0.3299
H 0.7639 0.9007 0.0384
H 0.0993 0.9616 0.2361
H 0.2500 0.4043 0.0957
H 0.5993 0.7361 0.4616
H 0.5957 0.9043 0.7500
H 0.9043 0.7500 0.5957
H 0.2639 0.5384 0.4007
H 0.5384 0.4007 0.2639
H 0.9616 0.2361 0.0993
H 0.0384 0.7639 0.9007
H 0.4616 0.5993 0.7361
H 0.4043 0.0957 0.2500
H 0.7361 0.4616 0.5993
H 0.0957 0.2500 0.4043
H 0.4007 0.2639 0.5384
H 0.7500 0.5957 0.9043
H 0.9007 0.0384 0.7639
H 0.2361 0.0993 0.9616
CELL_PARAMETERS angstrom
-2.5932 6.0885 0.1296
-2.7805 0.5252 -5.9837
-6.3926 -1.1674 1.2582
```

***

The following is a PBE calculation of NaCoH3 after structural relaxation, from the Alexandria database. Values from VASP.

Cell and atoms, written as Quantum ESPRESSO input:
```
&SYSTEM
  ibrav = 0, nat = 10, ntyp = 3
/
ATOMIC_SPECIES
Na 22.99 Na.upf
Co 58.93 Co.upf
H 1.01 H.upf
ATOMIC_POSITIONS crystal
Na 0.0000 0.0000 0.0000
Na 0.0000 0.0000 0.5000
Co 0.3333 0.6667 0.7500
Co 0.6667 0.3333 0.2500
H 0.0000 0.0000 0.2500
H 0.0000 0.0000 0.7500
H 0.3333 0.6667 0.8910
H 0.3333 0.6667 0.6090
H 0.6667 0.3333 0.3910
H 0.6667 0.3333 0.1090
CELL_PARAMETERS angstrom
2.5927 -1.4969 0.0000
0.0000 2.9937 0.0000
0.0000 0.0000 10.9075
```

***

The following is a PBE calculation of NaCoH3 after structural relaxation, from the Alexandria database. Values from VASP.

Cell and atoms, written as Quantum ESPRESSO input:
```
&SYSTEM
  ibrav = 0, nat = 20, ntyp = 3
/
ATOMIC_SPECIES
Na 22.99 Na.upf
Co 58.93 Co.upf
H 1.01 H.upf
ATOMIC_POSITIONS crystal
Na 0.1250 0.1250 0.1250
Na 0.1250 0.6250 0.1250
Na 0.6250 0.1250 0.1250
Na 0.1250 0.1250 0.6250
Co 0.6250 0.6250 0.6250
Co 0.6250 0.1250 0.6250
Co 0.1250 0.6250 0.6250
Co 0.6250 0.6250 0.1250
H 0.6930 0.3070 0.3070
H 0.9430 0.5570 0.5570
H 0.5570 0.5570 0.9430
H 0.5570 0.9430 0.9430
H 0.9430 0.5570 0.9430
H 0.6930 0.3070 0.6930
H 0.5570 0.9430 0.5570
H 0.9430 0.9430 0.5570
H 0.3070 0.6930 0.3070
H 0.3070 0.6930 0.6930
H 0.3070 0.3070 0.6930
H 0.6930 0.6930 0.3070
CELL_PARAMETERS angstrom
0.0000 4.3382 4.3382
4.3382 0.0000 4.3382
4.3382 4.3382 0.0000
```

***

Electronic total energy across the listed records, respectively: -3.6678, -3.5833, -3.6119, -3.7019 eV/atom.
Total magnetic moment across the listed records, respectively: 0.0, 0.2, 0.7, 0.0 μB/f.u..